# 1
# MnSiSbTe2, relaxed, DFT PBE
data_MnSiSbTe2
_chemical_formula_sum 'Mn1 Si1 Sb1 Te2'
_symmetry_space_group_name_H-M 'P 4/m m m'
_symmetry_Int_Tables_number 123
_symmetry_space_group_name_Hall '-P 4 2'
_cell_length_a 5.191
_cell_length_b 5.191
_cell_length_c 5.174
_cell_angle_alpha 90.00
_cell_angle_beta 90.00
_cell_angle_gamma 90.00
loop_
_atom_site_label
_atom_site_fract_x
_atom_site_fract_y
_atom_site_fract_z
Mn1 0.000 0.000 0.000
Si1 0.500 0.500 0.500
Sb1 0.500 0.500 0.000
Te1 0.000 0.500 0.500
# total magnetic moment	0.15	μB/cell
# offset from the most stable computed form	561.9	meV per atom
# total DFT energy (no corrections)	-3.76	eV/atom
# ΔE_f (raw)	1237	meV/atom

=====

# 2
# Ca2Tl2Pb3, relaxed, DFT PBE
data_Ca2Tl2Pb3
_chemical_formula_sum 'Ca4 Tl4 Pb6'
_symmetry_space_group_name_H-M 'C m m m'
_symmetry_Int_Tables_number 65
_symmetry_space_group_name_Hall '-C 2 2'
_cell_length_a 5.014
_cell_length_b 23.083
_cell_length_c 3.681
_cell_angle_alpha 90.00
_cell_angle_beta 90.00
_cell_angle_gamma 90.00
loop_
_atom_site_label
_atom_site_fract_x
_atom_site_fract_y
_atom_site_fract_z
Ca1 0.000 0.153 0.000
Tl1 0.000 0.287 0.500
Pb1 0.000 0.000 0.000
Pb2 0.000 0.426 0.500
# total magnetic moment	0.00	μB/cell
# offset from the most stable computed form	0.0	meV per atom
# formation enthalpy at 0 K	-0.24	eV/atom
# total DFT energy (no corrections)	-3.07	eV/atom

=====

# 3
# Li3ErU3Te8, relaxed, DFT PBE
data_Li3ErU3Te8
_chemical_formula_sum 'Li9 Er3 U9 Te24'
_symmetry_space_group_name_H-M 'R -3 m'
_symmetry_Int_Tables_number 166
_symmetry_space_group_name_Hall '-R 3 2"'
_cell_length_a 8.6347
_cell_length_b 8.6347
_cell_length_c 21.3750
_cell_angle_alpha 90.00
_cell_angle_beta 90.00
_cell_angle_gamma 120.00
loop_
_atom_site_label
_atom_site_fract_x
_atom_site_fract_y
_atom_site_fract_z
Li1 0.0000 0.5000 0.0000
Er1 0.0000 0.0000 0.5000
U1 0.0000 0.5000 0.5000
Te1 0.0000 0.0000 0.2536
Te2 0.0018 0.5009 0.2514
# total magnetic moment	24.01	μB/cell
# total DFT energy (no corrections)	-5.49	eV/atom
# ΔE_f (raw)	-865	meV/atom

=====

# 4
# Li3Ca3Ga2, relaxed, DFT PBE
data_Li3Ca3Ga2
_chemical_formula_sum 'Li12 Ca12 Ga8'
_symmetry_space_group_name_H-M 'P n m a'
_symmetry_Int_Tables_number 62
_symmetry_space_group_name_Hall '-P 2ac 2n'
_cell_length_a 8.282
_cell_length_b 16.330
_cell_length_c 5.969
_cell_angle_alpha 90.00
_cell_angle_beta 90.00
_cell_angle_gamma 90.00
loop_
_atom_site_label
_atom_site_fract_x
_atom_site_fract_y
_atom_site_fract_z
Li1 0.169 0.035 0.098
Li2 0.169 0.750 0.124
Ca1 0.033 0.104 0.621
Ca2 0.159 0.250 0.152
Ga1 0.122 0.609 0.872
# total magnetic moment	0.00	μB/cell
# formation enthalpy at 0 K	-0.23	eV/atom
# total DFT energy (no corrections)	-2.46	eV/atom

=====

# 5
# Al2CdMo, relaxed, DFT PBE
data_Al2CdMo
_chemical_formula_sum 'Al8 Cd4 Mo4'
_symmetry_space_group_name_H-M 'F -4 3 m'
_symmetry_Int_Tables_number 216
_symmetry_space_group_name_Hall 'F -4 2 3'
_cell_length_a 6.471
_cell_length_b 6.471
_cell_length_c 6.471
_cell_angle_alpha 90.00
_cell_angle_beta 90.00
_cell_angle_gamma 90.00
loop_
_atom_site_label
_atom_site_fract_x
_atom_site_fract_y
_atom_site_fract_z
Al1 0.000 0.000 0.000
Al2 0.250 0.250 0.250
Cd1 0.000 0.000 0.500
Mo1 0.250 0.250 0.750
# total magnetic moment	0.00	μB/cell
# formation enthalpy at 0 K	0.42	eV/atom
# total DFT energy (no corrections)	-4.39	eV/atom

=====

# 6
# ErHfTh2N4, relaxed, DFT PBE
data_ErHfTh2N4
_chemical_formula_sum 'Er1 Hf1 Th2 N4'
_symmetry_space_group_name_H-M 'P 1 2/m 1'
_symmetry_Int_Tables_number 10
_symmetry_space_group_name_Hall '-P 2y'
_cell_length_a 5.977
_cell_length_b 3.435
_cell_length_c 6.131
_cell_angle_alpha 90.00
_cell_angle_beta 108.79
_cell_angle_gamma 90.00
loop_
_atom_site_label
_atom_site_fract_x
_atom_site_fract_y
_atom_site_fract_z
Er1 0.000 0.000 0.000
Hf1 0.500 0.500 0.000
Th1 0.000 0.500 0.500
Th2 0.500 0.000 0.500
N1 0.257 0.500 0.223
N2 0.274 0.000 0.783
# total magnetic moment	0.00	μB/cell
# total DFT energy (no corrections)	-9.45	eV/atom
# ΔE_f (raw)	-1621	meV/atom

=====

# 7
# CeGa12Pd4, relaxed, DFT PBE
data_CeGa12Pd4
_chemical_formula_sum 'Ce2 Ga24 Pd8'
_symmetry_space_group_name_H-M 'I m -3'
_symmetry_Int_Tables_number 204
_symmetry_space_group_name_Hall '-I 2 2 3'
_cell_length_a 8.804
_cell_length_b 8.804
_cell_length_c 8.804
_cell_angle_alpha 90.00
_cell_angle_beta 90.00
_cell_angle_gamma 90.00
loop_
_atom_site_label
_atom_site_fract_x
_atom_site_fract_y
_atom_site_fract_z
Ce1 0.000 0.000 0.000
Ga1 0.000 0.348 0.151
Pd1 0.250 0.250 0.250
# total magnetic moment	1.94	μB/cell
# formation enthalpy at 0 K	-0.27	eV/atom
# total DFT energy (no corrections)	-3.97	eV/atom

=====

# 8
# AsOs2Au, relaxed, DFT PBE
data_AsOs2Au
_chemical_formula_sum 'As2 Os4 Au2'
_symmetry_space_group_name_H-M 'C m m 2'
_symmetry_Int_Tables_number 35
_symmetry_space_group_name_Hall 'C 2 -2'
_cell_length_a 2.773
_cell_length_b 4.859
_cell_length_c 10.029
_cell_angle_alpha 90.00
_cell_angle_beta 90.00
_cell_angle_gamma 90.00
loop_
_atom_site_label
_atom_site_fract_x
_atom_site_fract_y
_atom_site_fract_z
As1 0.000 0.000 0.000
Os1 0.000 0.000 0.444
Os2 0.000 0.500 0.227
Au1 0.000 0.500 0.701
# total magnetic moment	0.98	μB/cell
# formation enthalpy at 0 K	0.58	eV/atom
# total DFT energy (no corrections)	-7.01	eV/atom

=====

# 9
# TiNb3Pd, relaxed, DFT PBE
data_TiNb3Pd
_chemical_formula_sum 'Ti1 Nb3 Pd1'
_symmetry_space_group_name_H-M 'P m -3 m'
_symmetry_Int_Tables_number 221
_symmetry_space_group_name_Hall '-P 4 2 3'
_cell_length_a 4.647
_cell_length_b 4.647
_cell_length_c 4.647
_cell_angle_alpha 90.00
_cell_angle_beta 90.00
_cell_angle_gamma 90.00
loop_
_atom_site_label
_atom_site_fract_x
_atom_site_fract_y
_atom_site_fract_z
Ti1 0.000 0.000 0.000
Nb1 0.000 0.000 0.500
Pd1 0.500 0.500 0.500
# total magnetic moment	0.00	μB/cell
# offset from the most stable computed form	1132.5	meV per atom
# formation enthalpy at 0 K	1.17	eV/atom
# total DFT energy (no corrections)	-7.49	eV/atom

=====

# 10
# EuGdRh, relaxed, DFT PBE
data_EuGdRh
_chemical_formula_sum 'Eu4 Gd4 Rh4'
_symmetry_space_group_name_H-M 'F -4 3 m'
_symmetry_Int_Tables_number 216
_symmetry_space_group_name_Hall 'F -4 2 3'
_cell_length_a 6.921
_cell_length_b 6.921
_cell_length_c 6.921
_cell_angle_alpha 90.00
_cell_angle_beta 90.00
_cell_angle_gamma 90.00
loop_
_atom_site_label
_atom_site_fract_x
_atom_site_fract_y
_atom_site_fract_z
Eu1 0.000 0.000 0.000
Gd1 0.000 0.000 0.500
Rh1 0.250 0.250 0.750
# total magnetic moment	57.00	μB/cell
# offset from the most stable computed form	0.0	meV per atom
# formation enthalpy at 0 K	-0.43	eV/atom
# total DFT energy (no corrections)	-11.00	eV/atom

=====

# 11
# PuHfAgIr, relaxed, DFT PBE
data_PuHfAgIr
_chemical_formula_sum 'Pu4 Hf4 Ag4 Ir4'
_symmetry_space_group_name_H-M 'F -4 3 m'
_symmetry_Int_Tables_number 216
_symmetry_space_group_name_Hall 'F -4 2 3'
_cell_length_a 6.868
_cell_length_b 6.868
_cell_length_c 6.868
_cell_angle_alpha 90.00
_cell_angle_beta 90.00
_cell_angle_gamma 90.00
loop_
_atom_site_label
_atom_site_fract_x
_atom_site_fract_y
_atom_site_fract_z
Pu1 0.000 0.000 0.000
Hf1 0.000 0.000 0.500
Ag1 0.250 0.250 0.250
Ir1 0.250 0.250 0.750
# total magnetic moment	21.57	μB/cell
# formation enthalpy at 0 K	-0.20	eV/atom
# total DFT energy (no corrections)	-9.20	eV/atom

=====

# 12
# Ti6C2NO2, relaxed, DFT PBE
data_Ti6C2NO2
_chemical_formula_sum 'Ti12 C4 N2 O4'
_symmetry_space_group_name_H-M 'C 1 2/m 1'
_symmetry_Int_Tables_number 12
_symmetry_space_group_name_Hall '-C 2y'
_cell_length_a 5.273
_cell_length_b 9.086
_cell_length_c 5.253
_cell_angle_alpha 90.00
_cell_angle_beta 109.50
_cell_angle_gamma 90.00
loop_
_atom_site_label
_atom_site_fract_x
_atom_site_fract_y
_atom_site_fract_z
Ti1 0.242 0.171 0.237
Ti2 0.249 0.000 0.771
C1 0.000 0.334 0.000
N1 0.000 0.000 0.000
O1 0.000 0.166 0.500
# total magnetic moment	0.00	μB/cell
# total DFT energy (no corrections)	-9.29	eV/atom
# ΔE_f (raw)	-1652	meV/atom

=====

# 13
# CuTeS, relaxed, DFT PBE
data_CuTeS
_chemical_formula_sum 'Cu1 Te1 S1'
_symmetry_space_group_name_H-M 'P 3 m 1'
_symmetry_Int_Tables_number 156
_symmetry_space_group_name_Hall 'P 3 -2"'
_cell_length_a 3.7328
_cell_length_b 3.7328
_cell_length_c 4.8271
_cell_angle_alpha 90.00
_cell_angle_beta 90.00
_cell_angle_gamma 120.00
loop_
_atom_site_label
_atom_site_fract_x
_atom_site_fract_y
_atom_site_fract_z
Cu1 0.0000 0.0000 0.0000
Te1 0.6667 0.3333 0.3277
S1 0.3333 0.6667 0.7702
# total magnetic moment	0.00	μB/cell
# offset from the most stable computed form	61.8	meV per atom
# total DFT energy (no corrections)	-3.74	eV/atom
# ΔE_f (raw)	45	meV/atom

=====

# 14
# CrSn2PbCl, relaxed, DFT PBE
data_CrSn2PbCl
_chemical_formula_sum 'Cr1 Sn2 Pb1 Cl1'
_symmetry_space_group_name_H-M 'P 4/m m m'
_symmetry_Int_Tables_number 123
_symmetry_space_group_name_Hall '-P 4 2'
_cell_length_a 5.361
_cell_length_b 5.361
_cell_length_c 5.466
_cell_angle_alpha 90.00
_cell_angle_beta 90.00
_cell_angle_gamma 90.00
loop_
_atom_site_label
_atom_site_fract_x
_atom_site_fract_y
_atom_site_fract_z
Cr1 0.000 0.000 0.000
Sn1 0.000 0.500 0.500
Pb1 0.500 0.500 0.000
Cl1 0.500 0.500 0.500
# total magnetic moment	4.95	μB/cell
# total DFT energy (no corrections)	-3.93	eV/atom
# ΔE_f (raw)	711	meV/atom

=====

# 15
# MgCoAu, relaxed, DFT PBE
data_MgCoAu
_chemical_formula_sum 'Mg1 Co1 Au1'
_symmetry_space_group_name_H-M 'P 3 m 1'
_symmetry_Int_Tables_number 156
_symmetry_space_group_name_Hall 'P 3 -2"'
_cell_length_a 4.4148
_cell_length_b 4.4148
_cell_length_c 2.7878
_cell_angle_alpha 90.00
_cell_angle_beta 90.00
_cell_angle_gamma 120.00
loop_
_atom_site_label
_atom_site_fract_x
_atom_site_fract_y
_atom_site_fract_z
Mg1 0.0000 0.0000 0.0000
Co1 0.6667 0.3333 0.6759
Au1 0.3333 0.6667 0.3798
# total magnetic moment	1.35	μB/cell
# offset from the most stable computed form	38.3	meV per atom
# formation enthalpy at 0 K	0.04	eV/atom
# total DFT energy (no corrections)	-3.95	eV/atom

=====

# 16
# Tm3CuSe6, relaxed, DFT PBE
data_Tm3CuSe6
_chemical_formula_sum 'Tm12 Cu4 Se24'
_symmetry_space_group_name_H-M 'C m c 21'
_symmetry_Int_Tables_number 36
_symmetry_space_group_name_Hall 'C 2c -2'
_cell_length_a 11.182
_cell_length_b 12.841
_cell_length_c 6.879
_cell_angle_alpha 90.00
_cell_angle_beta 90.00
_cell_angle_gamma 90.00
loop_
_atom_site_label
_atom_site_fract_x
_atom_site_fract_y
_atom_site_fract_z
Tm1 0.000 0.104 0.000
Tm2 0.180 0.401 0.906
Cu1 0.000 0.291 0.362
Se1 0.000 0.282 0.714
Se2 0.000 0.462 0.204
Se3 0.161 0.035 0.701
Se4 0.173 0.235 0.188
# total magnetic moment	0.00	μB/cell
# total DFT energy (no corrections)	-5.15	eV/atom
# ΔE_f (raw)	-1312	meV/atom

=====

# 17
# Na4Sc2Si4O13, relaxed, DFT PBE
data_Na4Sc2Si4O13
_chemical_formula_sum 'Na16 Sc8 Si16 O52'
_symmetry_space_group_name_H-M 'P n a 21'
_symmetry_Int_Tables_number 33
_symmetry_space_group_name_Hall 'P 2c -2n'
_cell_length_a 14.350
_cell_length_b 5.351
_cell_length_c 14.587
_cell_angle_alpha 90.00
_cell_angle_beta 90.00
_cell_angle_gamma 90.00
loop_
_atom_site_label
_atom_site_fract_x
_atom_site_fract_y
_atom_site_fract_z
Na1 0.051 0.193 0.000
Na2 0.078 0.673 0.295
Na3 0.170 0.673 0.090
Na4 0.199 0.277 0.376
Sc1 0.079 0.349 0.585
Sc2 0.170 0.190 0.792
Si1 0.023 0.149 0.212
Si2 0.058 0.701 0.892
Si3 0.194 0.825 0.484
Si4 0.227 0.172 0.166
O1 0.015 0.404 0.154
O2 0.031 0.745 0.000
O3 0.033 0.208 0.324
O4 0.054 0.074 0.696
O5 0.074 0.409 0.865
O6 0.107 0.634 0.496
O7 0.126 0.018 0.188
O8 0.144 0.887 0.871
O9 0.174 0.110 0.518
O10 0.192 0.462 0.681
O11 0.217 0.229 0.053
O12 0.224 0.815 0.376
O13 0.229 0.432 0.223
# total magnetic moment	0.00	μB/cell
# total DFT energy (no corrections)	-7.29	eV/atom
# ΔE_f (raw)	-2762	meV/atom

=====

# 18
# Ac3SnSb, relaxed, DFT PBE
data_Ac3SnSb
_chemical_formula_sum 'Ac6 Sn2 Sb2'
_symmetry_space_group_name_H-M 'P 1 21/m 1'
_symmetry_Int_Tables_number 11
_symmetry_space_group_name_Hall '-P 2yb'
_cell_length_a 7.860
_cell_length_b 4.798
_cell_length_c 10.629
_cell_angle_alpha 90.00
_cell_angle_beta 93.79
_cell_angle_gamma 90.00
loop_
_atom_site_label
_atom_site_fract_x
_atom_site_fract_y
_atom_site_fract_z
Ac1 0.010 0.250 0.326
Ac2 0.265 0.250 0.929
Ac3 0.464 0.250 0.325
Sn1 0.258 0.250 0.599
Sb1 0.209 0.750 0.146
# total magnetic moment	1.08	μB/cell
# offset from the most stable computed form	0.0	meV per atom
# total DFT energy (no corrections)	-4.78	eV/atom
# ΔE_f (raw)	-685	meV/atom

=====

# 19
# LiZrAl2, relaxed, DFT PBE
data_LiZrAl2
_chemical_formula_sum 'Li2 Zr2 Al4'
_symmetry_space_group_name_H-M 'I -4 m 2'
_symmetry_Int_Tables_number 119
_symmetry_space_group_name_Hall 'I -4 -2'
_cell_length_a 4.135
_cell_length_b 4.135
_cell_length_c 8.305
_cell_angle_alpha 90.00
_cell_angle_beta 90.00
_cell_angle_gamma 90.00
loop_
_atom_site_label
_atom_site_fract_x
_atom_site_fract_y
_atom_site_fract_z
Li1 0.000 0.000 0.000
Zr1 0.000 0.500 0.750
Al1 0.000 0.000 0.500
Al2 0.000 0.500 0.250
# total magnetic moment	0.00	μB/cell
# formation enthalpy at 0 K	-0.14	eV/atom
# total DFT energy (no corrections)	-4.63	eV/atom

=====

# 20
# ZnCrCl2, relaxed, DFT PBE
data_ZnCrCl2
_chemical_formula_sum 'Zn2 Cr2 Cl4'
_symmetry_space_group_name_H-M 'I -4 m 2'
_symmetry_Int_Tables_number 119
_symmetry_space_group_name_Hall 'I -4 -2'
_cell_length_a 3.734
_cell_length_b 3.734
_cell_length_c 12.693
_cell_angle_alpha 90.00
_cell_angle_beta 90.00
_cell_angle_gamma 90.00
loop_
_atom_site_label
_atom_site_fract_x
_atom_site_fract_y
_atom_site_fract_z
Zn1 0.000 0.000 0.000
Cr1 0.000 0.500 0.250
Cl1 0.000 0.000 0.500
Cl2 0.000 0.500 0.750
# total magnetic moment	9.48	μB/cell
# offset from the most stable computed form	369.2	meV per atom
# total DFT energy (no corrections)	-3.76	eV/atom
# ΔE_f (raw)	-114	meV/atom